DFT (PBE-GGA) results for crystalline KPd at its relaxed geometry.

Cell and atoms, written as CIF:
```
data_KPd
_space_group_name_H-M_alt 'P 1'
_space_group_IT_number 1
_cell_length_a 6.477
_cell_length_b 6.477
_cell_length_c 6.265
_cell_angle_alpha 90.00
_cell_angle_beta 90.00
_cell_angle_gamma 90.00
loop_
_space_group_symop_operation_xyz
'x,y,z'
loop_
_atom_site_label
_atom_site_type_symbol
_atom_site_fract_x
_atom_site_fract_y
_atom_site_fract_z
K1 K 0.188 0.188 0.000
K2 K 0.312 0.688 0.500
K3 K 0.688 0.312 0.500
K4 K 0.812 0.812 0.000
Pd1 Pd 0.144 0.144 0.500
Pd2 Pd 0.356 0.644 0.000
Pd3 Pd 0.644 0.356 0.000
Pd4 Pd 0.856 0.856 0.500
```

Values from the calculation:
ΔE_f: 381 meV per atom
energy above the most stable polymorph in this dataset: 279 meV/atom
total moment: 0.0 μB/cell